NaPPd2S4: optimized geometry, PBE.

Lattice parameters (Å, degrees): 6.2012 6.4891 7.6934 90.00 90.00 90.00
Atoms (fractional coordinates):
1 Na 0.0000 0.0000 0.0000
2 Na 0.5000 0.5000 0.5000
3 P 0.0000 0.0000 0.5000
4 P 0.5000 0.5000 0.0000
5 Pd 0.0000 0.5000 0.3175
6 Pd 0.0000 0.5000 0.6825
7 Pd 0.5000 0.0000 0.1825
8 Pd 0.5000 0.0000 0.8175
9 S 0.1963 0.1856 0.6544
10 S 0.1963 0.8144 0.3456
11 S 0.3037 0.3144 0.1544
12 S 0.3037 0.6856 0.8456
13 S 0.6963 0.3144 0.8456
14 S 0.6963 0.6856 0.1544
15 S 0.8037 0.1856 0.3456
16 S 0.8037 0.8144 0.6544

Results
Energy relative to the elements, uncorrected   -408 meV per atom
Calculated total energy   -73.78 eV per cell

=====

NaPPdS2: optimized geometry, PBE.

Lattice parameters (Å, degrees): 4.7784 4.7784 4.7936 90.00 90.00 90.00
Atoms (fractional coordinates):
1 Na 0.0000 0.0000 0.0000
2 P 0.0000 0.0000 0.5000
3 Pd 0.5000 0.5000 0.5000
4 S 0.0000 0.5000 0.0000
5 S 0.5000 0.0000 0.0000

Results
Energy relative to the elements, uncorrected   1283 meV per atom
Calculated total energy   -13.76 eV per cell
Offset from the most stable computed form   1121 meV per atom

=====

NaPPdS2: optimized geometry, PBE.

Lattice parameters (Å, degrees): 5.0037 5.0037 4.4419 90.00 90.00 90.00
Atoms (fractional coordinates):
1 Na 0.0000 0.0000 0.0000
2 P 0.5000 0.5000 0.0000
3 Pd 0.5000 0.5000 0.5000
4 S 0.0000 0.5000 0.5000
5 S 0.5000 0.0000 0.5000

Results
Energy relative to the elements, uncorrected   162 meV per atom
Calculated total energy   -19.37 eV per cell
Offset from the most stable computed form   0 meV per atom

=====

NaScPPd2: optimized geometry, PBE.

Lattice parameters (Å, degrees): 4.4926 4.4926 5.1338 90.00 90.00 90.00
Atoms (fractional coordinates):
1 Na 0.0000 0.0000 0.0000
2 Sc 0.0000 0.0000 0.5000
3 P 0.5000 0.5000 0.5000
4 Pd 0.0000 0.5000 0.0000
5 Pd 0.5000 0.0000 0.0000

Results
Calculated total energy   -19.15 eV per cell
ΔH_f (0 K)   0.86 eV per atom

=====

Na3SnP2Pd9: optimized geometry, PBE.

Lattice parameters (Å, degrees): 6.0308 6.0308 9.6572 90.00 90.00 120.00
Atoms (fractional coordinates):
1 Na 0.0000 0.0000 0.0000
2 Na 0.3333 0.6667 0.6422
3 Na 0.6667 0.3333 0.3578
4 Sn 0.0000 0.0000 0.5000
5 P 0.3333 0.6667 0.1559
6 P 0.6667 0.3333 0.8441
7 Pd 0.0000 0.5000 0.0000
8 Pd 0.1520 0.3040 0.2777
9 Pd 0.1520 0.8480 0.2777
10 Pd 0.3040 0.1520 0.7223
11 Pd 0.5000 0.0000 0.0000
12 Pd 0.5000 0.5000 0.0000
13 Pd 0.6960 0.8480 0.2777
14 Pd 0.8480 0.1520 0.7223
15 Pd 0.8480 0.6960 0.7223

Results
Calculated total energy   -70.49 eV per cell
ΔH_f (0 K)   -0.33 eV per atom

=====

NaSr2P3Pd4: optimized geometry, PBE.

Lattice parameters (Å, degrees): 4.3227 4.3227 10.2046 90.00 90.00 90.00
Atoms (fractional coordinates):
1 Na 0.0000 0.0000 0.0000
2 Sr 0.0000 0.5000 0.7438
3 Sr 0.5000 0.0000 0.2562
4 P 0.0000 0.5000 0.3754
5 P 0.5000 0.0000 0.6246
6 P 0.5000 0.5000 0.0000
7 Pd 0.0000 0.0000 0.5000
8 Pd 0.0000 0.5000 0.1452
9 Pd 0.5000 0.0000 0.8548
10 Pd 0.5000 0.5000 0.5000

Results
Calculated total energy   -48.83 eV per cell
ΔH_f (0 K)   -0.71 eV per atom

=====

NaSrP2Pd4: optimized geometry, PBE.

Lattice parameters (Å, degrees): 4.1298 4.1298 10.2128 90.00 90.00 90.00
Atoms (fractional coordinates):
1 Na 0.0000 0.0000 0.0000
2 Sr 0.0000 0.0000 0.5000
3 P 0.5000 0.5000 0.3285
4 P 0.5000 0.5000 0.6715
5 Pd 0.0000 0.5000 0.2295
6 Pd 0.0000 0.5000 0.7705
7 Pd 0.5000 0.0000 0.2295
8 Pd 0.5000 0.0000 0.7705

Results
Calculated total energy   -38.86 eV per cell
ΔH_f (0 K)   -0.53 eV per atom

=====

NaSr2P3Pd12: optimized geometry, PBE.

Lattice parameters (Å, degrees): 7.1944 7.1944 7.1944 76.01 76.01 76.01
Atoms (fractional coordinates):
1 Na 0.0000 0.0000 0.0000
2 Sr 0.3913 0.3913 0.3913
3 Sr 0.6087 0.6087 0.6087
4 P 0.0000 0.0000 0.5000
5 P 0.0000 0.5000 0.0000
6 P 0.5000 0.0000 0.0000
7 Pd 0.0963 0.6885 0.6885
8 Pd 0.1514 0.1514 0.6368
9 Pd 0.1514 0.6368 0.1514
10 Pd 0.3115 0.3115 0.9037
11 Pd 0.3115 0.9037 0.3115
12 Pd 0.3632 0.8486 0.8486
13 Pd 0.6368 0.1514 0.1514
14 Pd 0.6885 0.0963 0.6885
15 Pd 0.6885 0.6885 0.0963
16 Pd 0.8486 0.3632 0.8486
17 Pd 0.8486 0.8486 0.3632
18 Pd 0.9037 0.3115 0.3115

Results
Calculated total energy   -89.18 eV per cell
ΔH_f (0 K)   -0.33 eV per atom

=====

Which formula does entry 5 have? Na3SnP2Pd9